[1]
DFT (PBE-GGA) results for crystalline PbSe at its relaxed geometry.

a b c (Å): 3.774 3.774 3.774
angles (deg): 90.00 90.00 90.00
Element x y z (fractional)
Pb 0.000 0.000 0.000
Se 0.500 0.500 0.500

**N(E_F)**: 0.448 states/eV/atom
**Volume**: 26.9 Å³ per atom
**Calculated total energy**: -3.93 eV/atom
**Uncorrected formation energy**: -329 meV/atom
**Total moment**: 0.00 μB per atom

---

[2]
DFT (PBE-GGA) results for crystalline Pb5Se4 at its relaxed geometry.

a b c (Å): 8.474 8.474 8.474
angles (deg): 93.82 93.82 150.10
Element x y z (fractional)
Se 0.000 0.266 0.266
Pb 0.334 0.334 0.668
Pb 0.666 0.334 0.000
Se 0.734 0.000 0.734
Se 0.266 0.000 0.266
Pb 0.000 0.000 0.000
Pb 0.666 0.666 0.332
Se 0.000 0.734 0.734
Pb 0.334 0.666 0.000

**N(E_F)**: 0.122 states/eV/atom
**Volume**: 32.6 Å³ per atom
**Calculated total energy**: -3.82 eV/atom
**Uncorrected formation energy**: -216 meV/atom
**Total moment**: 0.00 μB per atom

---

[3]
DFT (PBE-GGA) results for crystalline PbSe2 at its relaxed geometry.

a b c (Å): 8.643 8.643 3.904
angles (deg): 90.00 90.00 120.00
Element x y z (fractional)
Se 0.000 0.253 0.000
Pb 0.000 0.000 0.500
Se 0.253 0.000 0.000
Se 0.000 0.494 0.500
Se 0.506 0.506 0.500
Se 0.494 0.000 0.500
Pb 0.333 0.667 0.000
Pb 0.667 0.333 0.000
Se 0.747 0.747 0.000

**N(E_F)**: 0.287 states/eV/atom
**Volume**: 28.1 Å³ per atom
**Calculated total energy**: -3.61 eV/atom
**Uncorrected formation energy**: -53 meV/atom
**Total moment**: 0.00 μB per atom